CdCoSeO PBE+U relaxed; crystal system = orthorhombic; space group = P2_12_12_1, No. 19; energy above the lowest structure with this stoichiometry = 0.0399 eV/atom
1.0
5.8259 0.0000 0.0000
0.0000 7.1719 0.0000
0.0000 0.0000 7.5392
O Se Cd Co
4 4 4 4
direct
0.9747 0.7394 0.3827
0.4747 0.7606 0.6173
0.0253 0.2394 0.1173
0.5253 0.2606 0.8827
0.5027 0.1171 0.3545
0.4973 0.6171 0.1455
0.0027 0.3829 0.6455
0.9973 0.8829 0.8545
0.8494 0.4171 0.3125
0.6506 0.5829 0.8125
0.1506 0.9171 0.1875
0.3494 0.0829 0.6875
0.1533 0.6992 0.5977
0.8467 0.1992 0.9023
0.6533 0.8008 0.4023
0.3467 0.3008 0.0977